Entry 1:
Below is crystalline Ba3Ac3PmS8 at its relaxed geometry, with properties calculated at the PBE-GGA level.

It has space group R-3m (No. 166, hexagonal axes), with a = 8.6877 Å, b = 8.6877 Å, c = 21.9973 Å, α = 90.00°, β = 90.00° and γ = 120.00°. The asymmetric unit holds Ba at (0.0000, 0.5000, 0.0000), Ac at (0.0000, 0.5000, 0.5000), Pm at (0.0000, 0.0000, 0.5000), S at (0.0000, 0.0000, 0.2443) and S at (0.0160, 0.5080, 0.2391).

The uncorrected formation energy is -31.1 eV/f.u. The total energy comes out at -86.91 eV per formula unit.

Entry 2:
Below is crystalline SnTe2As2 at its relaxed geometry, with properties calculated at the PBE-GGA level.

It has space group P4/mbm (No. 127), with a = 8.523 Å, b = 8.523 Å, c = 3.812 Å, α = 90.00°, β = 90.00° and γ = 90.00°. The asymmetric unit holds Sn at (0.000, 0.000, 0.000), Te at (0.155, 0.345, 0.500) and As at (0.188, 0.688, 0.000).

The uncorrected formation energy is 0.6 eV/f.u. The total energy comes out at -18.99 eV per formula unit. The energy above the most stable polymorph in this dataset is 0 meV/atom.

Entry 3:
Below is crystalline Sm2HoEr4 at its relaxed geometry, with properties calculated at the PBE-GGA level.

It has space group C2/m (No. 12), with a = 16.730 Å, b = 3.525 Å, c = 8.698 Å, α = 90.00°, β = 120.12° and γ = 90.00°. The asymmetric unit holds Sm at (0.070, 0.000, 0.431), Ho at (0.000, 0.000, 0.000), Er at (0.145, 0.500, 0.843) and Er at (0.204, 0.500, 0.293).

The total energy comes out at -31.92 eV per formula unit. The energy above the most stable polymorph in this dataset is 0 meV/atom. The formation energy comes out at 0.05 eV/atom.

Entry 4:
Below is crystalline Ag2H2Cl5 at its relaxed geometry, with properties calculated at the PBE-GGA level.

It has space group Cc (No. 9), with a = 30.077 Å, b = 3.937 Å, c = 7.229 Å, α = 90.00°, β = 103.79° and γ = 90.00°. The asymmetric unit holds Ag at (0.000, 0.001, 0.000), Ag at (0.250, 0.250, 0.633), H at (0.131, 0.186, 0.159), H at (0.369, 0.306, 0.398), Cl at (0.000, 0.460, 0.248), Cl at (0.104, 0.015, 0.538), Cl at (0.201, 0.493, 0.332), Cl at (0.300, 0.002, 0.934) and Cl at (0.396, 0.495, 0.830).

The total energy comes out at -25.37 eV per formula unit.

Entry 5:
Below is crystalline BC2 at its relaxed geometry, with properties calculated at the PBE-GGA level.

It has space group Cm (No. 8), with a = 4.599 Å, b = 7.904 Å, c = 4.572 Å, α = 90.00°, β = 109.49° and γ = 90.00°. The asymmetric unit holds B at (0.000, 0.000, 0.000), B at (0.023, 0.500, 0.182), B at (0.077, 0.166, 0.519), C at (0.068, 0.500, 0.544), C at (0.072, 0.327, 0.016), C at (0.438, 0.500, 0.646), C at (0.445, 0.325, 0.145) and C at (0.447, 0.159, 0.664).

The total energy comes out at -24.00 eV per formula unit. The energy above the most stable polymorph in this dataset is 134 meV/atom. The formation energy comes out at 0.37 eV/atom.

Entry 6:
Below is crystalline Cs3Na3Cd2 at its relaxed geometry, with properties calculated at the PBE-GGA level.

It has space group Cmcm (No. 63), with a = 6.446 Å, b = 14.091 Å, c = 18.069 Å, α = 90.00°, β = 90.00° and γ = 90.00°. The asymmetric unit holds Cs at (0.000, 0.033, 0.250), Cs at (0.000, 0.162, 0.532), Na at (0.000, 0.267, 0.750), Na at (0.000, 0.473, 0.601) and Cd at (0.000, 0.307, 0.169).

The total energy comes out at -8.27 eV per formula unit. The formation energy comes out at 0.01 eV/atom.

Entry 7:
Below is crystalline TaNb2GeCl at its relaxed geometry, with properties calculated at the PBE-GGA level.

It has space group P4/mmm (No. 123), with a = 5.062 Å, b = 5.062 Å, c = 4.546 Å, α = 90.00°, β = 90.00° and γ = 90.00°. The asymmetric unit holds Ta at (0.000, 0.000, 0.000), Nb at (0.000, 0.500, 0.000), Ge at (0.500, 0.500, 0.500) and Cl at (0.000, 0.000, 0.500).

The uncorrected formation energy is 6.1 eV/f.u. The total energy comes out at -32.32 eV per formula unit. The energy above the most stable polymorph in this dataset is 0 meV/atom.

Entry 8:
Below is crystalline Sm3Ge3Ir at its relaxed geometry, with properties calculated at the PBE-GGA level.

It has space group C2/m (No. 12), with a = 10.850 Å, b = 4.357 Å, c = 14.276 Å, α = 90.00°, β = 109.84° and γ = 90.00°. The asymmetric unit holds Sm at (0.030, 0.000, 0.380), Sm at (0.102, 0.000, 0.922), Sm at (0.244, 0.000, 0.234), Ge at (0.036, 0.500, 0.232), Ge at (0.115, 0.500, 0.073), Ge at (0.144, 0.500, 0.537) and Ir at (0.250, 0.000, 0.612).

The total energy comes out at -42.96 eV per formula unit. The formation energy comes out at -0.87 eV/atom.

Entry 9:
Below is crystalline TiBe2Al at its relaxed geometry, with properties calculated at the PBE-GGA level.

It has space group I-42d (No. 122), with a = 3.910 Å, b = 3.910 Å, c = 15.723 Å, α = 90.00°, β = 90.00° and γ = 90.00°. The asymmetric unit holds Ti at (0.000, 0.000, 0.000), Be at (0.056, 0.250, 0.625) and Al at (0.000, 0.000, 0.500).

The total energy comes out at -17.07 eV per formula unit. The formation energy comes out at 0.50 eV/atom.

Entry 10:
Below is crystalline BaCrPt at its relaxed geometry, with properties calculated at the PBE-GGA level.

It has space group Cm (No. 8), with a = 9.826 Å, b = 5.093 Å, c = 6.343 Å, α = 90.00°, β = 101.28° and γ = 90.00°. The asymmetric unit holds Ba at (0.000, 0.000, 0.000), Ba at (0.208, 0.500, 0.355), Cr at (0.279, 0.000, 0.762), Cr at (0.420, 0.000, 0.618), Pt at (0.172, 0.500, 0.819) and Pt at (0.353, 0.000, 0.193).

The total energy comes out at -17.44 eV per formula unit. The energy above the most stable polymorph in this dataset is 209 meV/atom. The formation energy comes out at 0.05 eV/atom.

Entry 11:
Below is crystalline Sr3Pd3Pb at its relaxed geometry, with properties calculated at the PBE-GGA level.

It has space group Cmcm (No. 63), with a = 4.553 Å, b = 11.393 Å, c = 14.814 Å, α = 90.00°, β = 90.00° and γ = 90.00°. The asymmetric unit holds Sr at (0.000, 0.013, 0.250), Sr at (0.000, 0.293, 0.104), Pd at (0.000, 0.280, 0.750), Pd at (0.000, 0.416, 0.597) and Pb at (0.000, 0.000, 0.000).

The total energy comes out at -28.51 eV per formula unit. The energy above the most stable polymorph in this dataset is 0 meV/atom. The formation energy comes out at -0.60 eV/atom.

Entry 12:
Below is crystalline AcPm2DyHo at its relaxed geometry, with properties calculated at the PBE-GGA level.

It has space group Cmcm (No. 63), with a = 8.492 Å, b = 12.098 Å, c = 7.339 Å, α = 90.00°, β = 90.00° and γ = 90.00°. The asymmetric unit holds Ac at (0.000, 0.248, 0.250), Pm at (0.194, 0.500, 0.000), Dy at (0.000, 0.041, 0.750) and Ho at (0.000, 0.300, 0.750).

The total energy comes out at -21.04 eV per formula unit. The formation energy comes out at 0.35 eV/atom.

Entry 13:
Below is crystalline KMgBiI6 at its relaxed geometry, with properties calculated at the PBE-GGA level.

It has space group P312 (No. 149), with a = 7.8094 Å, b = 7.8094 Å, c = 7.8495 Å, α = 90.00°, β = 90.00° and γ = 120.00°. The asymmetric unit holds K at (0.0000, 0.0000, 0.0000), Mg at (0.3333, 0.6667, 0.5000), Bi at (0.6667, 0.3333, 0.5000) and I at (0.0155, 0.3769, 0.7228).

The uncorrected formation energy is -7.8 eV/f.u. The total energy comes out at -23.71 eV per formula unit.

Entry 14:
Below is crystalline ThFeN at its relaxed geometry, with properties calculated at the PBE-GGA level.

It has space group Cmcm (No. 63), with a = 4.979 Å, b = 10.243 Å, c = 3.624 Å, α = 90.00°, β = 90.00° and γ = 90.00°. The asymmetric unit holds Th at (0.000, 0.157, 0.250), Fe at (0.000, 0.435, 0.250) and N at (0.000, 0.339, 0.750).

The uncorrected formation energy is -1.9 eV/f.u. The total energy comes out at -26.14 eV per formula unit.

Entry 15:
Below is crystalline LiHg5Pd4 at its relaxed geometry, with properties calculated at the PBE-GGA level.

It has space group P4/mmm (No. 123), with a = 3.354 Å, b = 3.354 Å, c = 16.021 Å, α = 90.00°, β = 90.00° and γ = 90.00°. The asymmetric unit holds Li at (0.000, 0.000, 0.000), Hg at (0.500, 0.500, 0.096), Hg at (0.500, 0.500, 0.299), Hg at (0.500, 0.500, 0.500), Pd at (0.000, 0.000, 0.200) and Pd at (0.000, 0.000, 0.400).

The total energy comes out at -26.22 eV per formula unit. The formation energy comes out at -0.20 eV/atom.

Entry 16:
Below is crystalline MgCd2Pd2 at its relaxed geometry, with properties calculated at the PBE-GGA level.

It has space group Imma (No. 74), with a = 4.640 Å, b = 6.044 Å, c = 13.815 Å, α = 90.00°, β = 90.00° and γ = 90.00°. The asymmetric unit holds Mg at (0.000, 0.250, 0.160), Cd at (0.000, 0.250, 0.500), Cd at (0.000, 0.250, 0.849) and Pd at (0.000, 0.005, 0.327).

The total energy comes out at -16.03 eV per formula unit. The energy above the most stable polymorph in this dataset is 0 meV/atom. The formation energy comes out at -0.44 eV/atom.

Entry 17:
Below is crystalline BaAcBN2 at its relaxed geometry, with properties calculated at the PBE-GGA level.

It has space group Cmme (No. 67), with a = 8.161 Å, b = 13.049 Å, c = 5.408 Å, α = 90.00°, β = 90.00° and γ = 90.00°. The asymmetric unit holds Ba at (0.000, 0.250, 0.119), Ac at (0.250, 0.000, 0.500), B at (0.000, 0.000, 0.000) and N at (0.000, 0.043, 0.226).

The uncorrected formation energy is -4.5 eV/f.u. The total energy comes out at -33.91 eV per formula unit.

Entry 18:
Below is crystalline CaNd2Mg at its relaxed geometry, with properties calculated at the PBE-GGA level.

It has space group R-3m (No. 166, hexagonal axes), with a = 3.5589 Å, b = 3.5589 Å, c = 37.7925 Å, α = 90.00°, β = 90.00° and γ = 120.00°. The asymmetric unit holds Ca at (0.0000, 0.0000, 0.0000), Nd at (0.0000, 0.0000, 0.0947) and Mg at (0.0000, 0.0000, 0.5000).

The total energy comes out at -12.45 eV per formula unit. The energy above the most stable polymorph in this dataset is 176 meV/atom. The formation energy comes out at 0.17 eV/atom.

Entry 19:
Below is crystalline LaNd2Sm3As6 at its relaxed geometry, with properties calculated at the PBE-GGA level.

It has space group C2/m (No. 12), with a = 18.570 Å, b = 4.263 Å, c = 8.522 Å, α = 90.00°, β = 103.26° and γ = 90.00°. The asymmetric unit holds La at (0.000, 0.000, 0.000), Nd at (0.167, 0.500, 0.334), Sm at (0.000, 0.000, 0.500), Sm at (0.167, 0.500, 0.832), As at (0.001, 0.500, 0.745), As at (0.166, 0.000, 0.585) and As at (0.169, 0.000, 0.082).

The total energy comes out at -74.85 eV per formula unit. The formation energy comes out at -1.53 eV/atom.

Entry 20:
Below is crystalline CaHoSe2F at its relaxed geometry, with properties calculated at the PBE-GGA level.

It has space group P4/nmm (No. 129, origin choice 2), with a = 4.002 Å, b = 4.002 Å, c = 14.352 Å, α = 90.00°, β = 90.00° and γ = 90.00°. The asymmetric unit holds Ca at (0.250, 0.250, 0.091), Ho at (0.250, 0.250, 0.627), Se at (0.250, 0.250, 0.410), Se at (0.250, 0.250, 0.809) and F at (0.250, 0.750, 0.000).

The uncorrected formation energy is -12.2 eV/f.u. The total energy comes out at -27.63 eV per formula unit.